Density functional theory data (PBE) for a relaxed structure of BWC3.

Summary:
Space group   Pm-3m
M_tot   0.00 μB/cell
Offset from the most stable computed form   50.9 kJ per mole of atoms
Density of states at the Fermi level   0.896 states/eV/atom
Calculated formation energy   2694 meV per atom

a b c (Å): 4.109 4.109 4.109
angles (deg): 90.00 90.00 90.00
Positions (direct):
1 B 0.000 0.000 0.000
2 W 0.500 0.500 0.500
3 C 0.000 0.500 0.500
4 C 0.500 0.000 0.500
5 C 0.500 0.500 0.000

Density functional theory data (PBE) for a relaxed structure of B3WC.

Summary:
Space group   Pm-3m
M_tot   0.00 μB/cell
Offset from the most stable computed form   0.0 kJ per mole of atoms
Density of states at the Fermi level   0.420 states/eV/atom
Calculated formation energy   1611 meV per atom

a b c (Å): 3.477 3.477 3.477
angles (deg): 90.00 90.00 90.00
Positions (direct):
1 B 0.000 0.000 0.500
2 B 0.000 0.500 0.000
3 B 0.500 0.000 0.000
4 W 0.500 0.500 0.500
5 C 0.000 0.000 0.000